No. 1
## Pu3Ir2 (GGA-PBE)

Data for a relaxed structure of Pu3Ir2.

Results
- Total DFT energy (no corrections): -12.4734 eV per atom
- Offset from the most stable computed form: 0.000 eV/atom
- Space group: No. 74
- Formation energy from the elements: -0.330 eV per atom

Lattice parameters (Å, degrees): 8.1306 8.1306 8.1306 142.15 139.75 56.43
Fractional coordinates of all 10 atoms:
Pu (0.0000, 0.0000, 0.0000)
Pu (0.1359, 0.3859, 0.7500)
Pu (0.4517, 0.2017, 0.2500)
Pu (0.5000, 0.0000, 0.5000)
Pu (0.5483, 0.7983, 0.7500)
Pu (0.8641, 0.6141, 0.2500)
Ir (0.0610, 0.8110, 0.2500)
Ir (0.3381, 0.5881, 0.7500)
Ir (0.6619, 0.4119, 0.2500)
Ir (0.9390, 0.1890, 0.7500)

No. 2
## K2PaHgO4 (GGA-PBE)

Data for a relaxed structure of K2PaHgO4.

Results
- Total DFT energy (no corrections): -5.8994 eV per atom
- Space group: No. 82

Lattice parameters (Å, degrees): 6.5410 6.5410 6.5410 123.87 123.87 83.42
Fractional coordinates of all 8 atoms:
K (0.0000, 0.0000, 0.0000)
K (0.7500, 0.2500, 0.5000)
Pa (0.5000, 0.5000, 0.0000)
Hg (0.2500, 0.7500, 0.5000)
O (0.1920, 0.1843, 0.5898)
O (0.3978, 0.8080, 0.9924)
O (0.5946, 0.6022, 0.4102)
O (0.8157, 0.4054, 0.0076)

No. 3
## Y2MoRh (GGA-PBE)

Data for a relaxed structure of Y2MoRh.

Results
- Total DFT energy (no corrections): -7.4230 eV per atom
- Space group: No. 122
- Formation energy from the elements: 0.355 eV per atom

Lattice parameters (Å, degrees): 6.2313 6.2313 6.2313 104.38 104.38 120.22
Fractional coordinates of all 8 atoms:
Y (0.0980, 0.6250, 0.9730)
Y (0.3750, 0.3481, 0.4730)
Y (0.6520, 0.1250, 0.0270)
Y (0.8750, 0.9020, 0.5270)
Mo (0.2500, 0.7500, 0.5000)
Mo (0.5000, 0.5000, 0.0000)
Rh (0.0000, 0.0000, 0.0000)
Rh (0.7500, 0.2500, 0.5000)

No. 4
## Tm5Pb4 (GGA-PBE)

Data for a relaxed structure of Tm5Pb4.

Results
- Total DFT energy (no corrections): -4.3059 eV per atom
- Offset from the most stable computed form: 0.210 eV/atom
- Space group: No. 87
- Formation energy from the elements: -0.174 eV per atom

Lattice parameters (Å, degrees): 7.3240 7.3240 7.3240 100.09 100.09 130.50
Fractional coordinates of all 9 atoms:
Tm (0.0000, 0.0000, 0.0000)
Tm (0.2543, 0.3913, 0.6457)
Tm (0.3913, 0.7457, 0.1370)
Tm (0.6087, 0.2543, 0.8630)
Tm (0.7457, 0.6087, 0.3543)
Pb (0.0699, 0.6753, 0.7453)
Pb (0.3247, 0.0699, 0.3946)
Pb (0.6753, 0.9301, 0.6054)
Pb (0.9301, 0.3247, 0.2547)

> Among the records above, which one has the lowest total DFT energy (no corrections)?

Pu3Ir2

> Which of these has the highest total DFT energy (no corrections)?

Tm5Pb4

> Which of these has the highest total DFT energy (no corrections)?

Tm5Pb4

> The highest total DFT energy (no corrections) belongs to which entry?

Tm5Pb4